# CsAcGe2

CsAcGe2 after structural relaxation (PBE, Alexandria).

```
CsAcGe2
1.0
4.329 0.000 0.000
0.000 4.329 0.000
0.000 0.000 7.987
Cs Ac Ge
1 1 2
direct
0.000 0.000 0.000 Cs
0.000 0.000 0.500 Ac
0.500 0.500 0.343 Ge
0.500 0.500 0.657 Ge
```

Output
Space group: No. 123
N(E_F): 2.250 states/eV/cell
Crystal system: tetragonal
DFT formation energy: -360 meV/atom
Distance to the lowest polymorph of the same formula: 0 meV/atom

---

# CsAcGe2

CsAcGe2 after structural relaxation (PBE, Alexandria).

```
CsAcGe2
1.0
2.624 1.515 7.128
-2.624 1.515 7.128
0.000 -3.030 7.128
Cs Ac Ge
1 1 2
direct
0.000 0.000 0.000 Cs
0.500 0.500 0.500 Ac
0.201 0.201 0.201 Ge
0.799 0.799 0.799 Ge
```

Output
Space group: No. 166
N(E_F): 3.726 states/eV/cell
Crystal system: trigonal
DFT formation energy: -23 meV/atom
Distance to the lowest polymorph of the same formula: 336 meV/atom

---

# CsAc4Ge4

CsAc4Ge4 after structural relaxation (PBE, Alexandria).

```
CsAc4Ge4
1.0
10.654 0.000 0.000
0.000 10.654 0.000
0.000 0.000 6.232
Cs Ac Ge
2 8 8
direct
0.250 0.250 0.250 Cs
0.750 0.750 0.750 Cs
0.115 0.626 0.133 Ac
0.126 0.885 0.633 Ac
0.374 0.615 0.633 Ac
0.385 0.874 0.133 Ac
0.615 0.126 0.867 Ac
0.626 0.385 0.367 Ac
0.874 0.115 0.367 Ac
0.885 0.374 0.867 Ac
0.066 0.931 0.138 Ge
0.069 0.566 0.638 Ge
0.431 0.934 0.638 Ge
0.434 0.569 0.138 Ge
0.566 0.431 0.862 Ge
0.569 0.066 0.362 Ge
0.931 0.434 0.362 Ge
0.934 0.069 0.862 Ge
```

Output
Space group: No. 86
N(E_F): 11.982 states/eV/cell
Crystal system: tetragonal
DFT formation energy: -413 meV/atom

---

# CsAcGe2I8

CsAcGe2I8 after structural relaxation (PBE, Alexandria).

```
CsAcGe2I8
1.0
7.573 0.000 0.000
2.395 8.176 0.000
2.652 3.305 10.249
Cs Ac Ge I
1 1 2 8
direct
0.000 0.000 0.000 Cs
0.000 0.000 0.500 Ac
0.460 0.444 0.210 Ge
0.540 0.556 0.790 Ge
0.157 0.692 0.764 I
0.255 0.797 0.301 I
0.298 0.237 0.459 I
0.443 0.258 0.052 I
0.557 0.742 0.948 I
0.702 0.763 0.541 I
0.745 0.203 0.699 I
0.843 0.308 0.236 I
```

Output
Space group: No. 2
N(E_F): 0.000 states/eV/cell
Crystal system: triclinic
Formation energy without anion corrections: -1010 kJ/mol of formula units

---

# CsAcGe2O6

CsAcGe2O6 after structural relaxation (PBE, Alexandria).

```
CsAcGe2O6
1.0
5.622 -5.515 0.000
5.622 5.515 0.000
-1.005 0.000 5.764
Cs Ac Ge O
2 2 4 12
direct
0.170 0.830 0.750 Cs
0.830 0.170 0.250 Cs
0.376 0.624 0.250 Ac
0.624 0.376 0.750 Ac
0.145 0.306 0.797 Ge
0.306 0.145 0.297 Ge
0.694 0.855 0.703 Ge
0.855 0.694 0.203 Ge
0.067 0.627 0.249 O
0.160 0.178 0.038 O
0.178 0.160 0.538 O
0.317 0.452 0.855 O
0.373 0.933 0.251 O
0.452 0.317 0.355 O
0.548 0.683 0.645 O
0.627 0.067 0.749 O
0.683 0.548 0.145 O
0.822 0.840 0.462 O
0.840 0.822 0.962 O
0.933 0.373 0.751 O
```

Output
Space group: No. 15
N(E_F): 0.000 states/eV/cell
Crystal system: monoclinic
Formation energy without anion corrections: -2089 kJ/mol of formula units

---

# Cs2AcGeO4

Cs2AcGeO4 after structural relaxation (PBE, Alexandria).

```
Cs2AcGeO4
1.0
0.000 6.779 12.976
3.113 0.000 12.976
3.113 6.779 0.000
Cs Ac Ge O
4 2 2 8
direct
0.061 0.061 0.689 Cs
0.311 0.311 0.939 Cs
0.689 0.689 0.061 Cs
0.939 0.939 0.311 Cs
0.125 0.125 0.125 Ac
0.875 0.875 0.875 Ac
0.375 0.375 0.375 Ge
0.625 0.625 0.625 Ge
0.076 0.606 0.514 O
0.304 0.514 0.606 O
0.394 0.924 0.696 O
0.486 0.696 0.924 O
0.514 0.304 0.076 O
0.606 0.076 0.304 O
0.696 0.486 0.394 O
0.924 0.394 0.486 O
```

Output
Space group: No. 70
N(E_F): 4.504 states/eV/cell
Crystal system: orthorhombic
Formation energy without anion corrections: -1342 kJ/mol of formula units

---

# CsAcGeO4

CsAcGeO4 after structural relaxation (PBE, Alexandria).

```
CsAcGeO4
1.0
6.256 0.000 0.000
0.000 6.072 0.000
-2.208 0.000 7.919
Cs Ac Ge O
2 2 2 8
direct
0.199 0.250 0.425 Cs
0.801 0.750 0.575 Cs
0.273 0.250 0.948 Ac
0.727 0.750 0.052 Ac
0.258 0.750 0.162 Ge
0.742 0.250 0.838 Ge
0.078 0.750 0.951 O
0.080 0.750 0.297 O
0.443 0.521 0.177 O
0.443 0.979 0.177 O
0.557 0.021 0.823 O
0.557 0.479 0.823 O
0.920 0.250 0.703 O
0.922 0.250 0.049 O
```

Output
Space group: No. 11
N(E_F): 0.000 states/eV/cell
Crystal system: monoclinic
Formation energy without anion corrections: -1594 kJ/mol of formula units

---

# CsAc4Ge3O12

CsAc4Ge3O12 after structural relaxation (PBE, Alexandria).

```
CsAc4Ge3O12
1.0
-4.413 4.413 4.413
4.413 -4.413 4.413
4.413 4.413 -4.413
Cs Ac Ge O
1 4 3 12
direct
0.000 0.000 0.000 Cs
0.000 0.000 0.500 Ac
0.000 0.500 0.000 Ac
0.500 0.000 0.000 Ac
0.500 0.500 0.500 Ac
0.000 0.500 0.500 Ge
0.500 0.000 0.500 Ge
0.500 0.500 0.000 Ge
0.149 0.346 0.495 O
0.149 0.654 0.802 O
0.198 0.851 0.346 O
0.346 0.198 0.851 O
0.346 0.495 0.149 O
0.495 0.149 0.346 O
0.505 0.851 0.654 O
0.654 0.505 0.851 O
0.654 0.802 0.149 O
0.802 0.149 0.654 O
0.851 0.346 0.198 O
0.851 0.654 0.505 O
```

Output
Space group: No. 204
N(E_F): 4.520 states/eV/cell
Crystal system: cubic
Formation energy without anion corrections: -4343 kJ/mol of formula units

---

# CsAcGeS4

CsAcGeS4 after structural relaxation (PBE, Alexandria).

```
CsAcGeS4
1.0
6.904 0.000 0.000
0.000 6.879 0.000
-2.844 0.000 9.245
Cs Ac Ge S
2 2 2 8
direct
0.229 0.250 0.436 Cs
0.771 0.750 0.564 Cs
0.263 0.250 0.950 Ac
0.737 0.750 0.050 Ac
0.289 0.750 0.175 Ge
0.711 0.250 0.825 Ge
0.094 0.750 0.319 S
0.106 0.750 0.941 S
0.500 0.004 0.208 S
0.500 0.496 0.208 S
0.500 0.504 0.792 S
0.500 0.996 0.792 S
0.894 0.250 0.059 S
0.906 0.250 0.681 S
```

Output
Space group: No. 11
N(E_F): 0.000 states/eV/cell
Crystal system: monoclinic
Formation energy without anion corrections: -911 kJ/mol of formula units

---

# Cs2AcGeS4

Cs2AcGeS4 after structural relaxation (PBE, Alexandria).

```
Cs2AcGeS4
1.0
-3.888 3.888 5.052
3.888 -3.888 5.052
3.888 3.888 -5.052
Cs Ac Ge S
2 1 1 4
direct
0.000 0.000 0.000 Cs
0.750 0.250 0.500 Cs
0.250 0.750 0.500 Ac
0.500 0.500 0.000 Ge
0.228 0.165 0.624 S
0.396 0.772 0.937 S
0.541 0.604 0.376 S
0.835 0.459 0.063 S
```

Output
Space group: No. 82
N(E_F): 4.224 states/eV/cell
Crystal system: tetragonal
Formation energy without anion corrections: -850 kJ/mol of formula units

---

# CsAcGeSe3

CsAcGeSe3 after structural relaxation (PBE, Alexandria).

```
CsAcGeSe3
1.0
9.371 0.000 0.000
0.000 4.335 0.000
-3.678 0.000 11.439
Cs Ac Ge Se
2 2 2 6
direct
0.241 0.250 0.203 Cs
0.759 0.750 0.797 Cs
0.156 0.750 0.655 Ac
0.844 0.250 0.345 Ac
0.379 0.250 0.936 Ge
0.621 0.750 0.064 Ge
0.087 0.750 0.386 Se
0.197 0.750 0.922 Se
0.410 0.250 0.738 Se
0.590 0.750 0.262 Se
0.803 0.250 0.078 Se
0.913 0.250 0.614 Se
```

Output
Space group: No. 11
Crystal system: monoclinic
Formation energy without anion corrections: -733 kJ/mol of formula units

---

# CsAcGeTe3

CsAcGeTe3 after structural relaxation (PBE, Alexandria).

```
CsAcGeTe3
1.0
9.970 0.000 0.000
0.000 4.558 0.000
-4.266 0.000 12.018
Cs Ac Ge Te
2 2 2 6
direct
0.248 0.250 0.206 Cs
0.752 0.750 0.794 Cs
0.151 0.750 0.659 Ac
0.849 0.250 0.341 Ac
0.386 0.250 0.944 Ge
0.614 0.750 0.056 Ge
0.102 0.750 0.389 Te
0.196 0.750 0.931 Te
0.411 0.250 0.739 Te
0.589 0.750 0.261 Te
0.804 0.250 0.069 Te
0.898 0.250 0.611 Te
```

Output
Space group: No. 11
Crystal system: monoclinic
Formation energy without anion corrections: -574 kJ/mol of formula units

---

Values of E, in order: -15.6; -14.3; -78.9; -37.1; -131.2; -88.3; -91.9; -135.7; -71.1; -35.8; -55.3; -49.9, all in eV for the cell shown.
Values of spin magnetization, in order: 0.00; 0.00; 0.88; 0.00; 0.00; 0.00; 0.00; 0.00; 0.00; 0.00; 0.00; 0.00, all in μB per formula unit.